Entry 1:
Computed, not measured: a relaxed structure of AgPtO at the GGA-PBE level of DFT.

Cell lengths 2.977, 2.977, 5.941 Å; angles 96.89, 96.89, 121.40 degrees
Fractional positions:
O (0.017, 0.017, 0.034)
Ag (0.343, 0.343, 0.687)
Pt (0.640, 0.640, 0.280)

Calculated volume = 14.52 Å³/atom
Raw total energy = -4.438 eV/atom
Magnetic moment = 0.0 μB per formula unit
Space-group type = Fmm2 (42)



Entry 2:
Computed, not measured: a relaxed structure of AgPtO2 at the GGA-PBE level of DFT.

Cell lengths 3.054, 4.417, 4.503 Å; angles 81.71, 90.00, 90.00 degrees
Site moments in Bohr magnetons follow the coordinates.
Fractional positions:
O (0.000, 0.436, 0.440)  0.07
O (0.000, 0.064, 0.060)  0.07
Ag (0.500, 0.750, 0.750)  0.00
Pt (0.500, 0.250, 0.250)  0.13

Calculated volume = 15.03 Å³/atom
Raw total energy = -4.841 eV/atom
Magnetic moment = 0.3 μB per formula unit
Space-group type = P2/m (10)



Entry 3:
Computed, not measured: a relaxed structure of AgPtO3 at the GGA-PBE level of DFT.

Cell lengths 5.520, 6.626, 6.971 Å; angles 99.94, 90.00, 90.00 degrees
Fractional positions:
O (0.555, 0.087, 0.172)
O (0.346, 0.638, 0.069)
O (0.415, 0.192, 0.534)
O (0.654, 0.362, 0.931)
O (0.945, 0.087, 0.672)
O (0.445, 0.913, 0.828)
O (0.055, 0.913, 0.328)
O (0.154, 0.638, 0.569)
O (0.585, 0.808, 0.466)
O (0.085, 0.192, 0.034)
O (0.846, 0.362, 0.431)
O (0.915, 0.808, 0.966)
Ag (0.856, 0.545, 0.733)
Ag (0.144, 0.455, 0.267)
Ag (0.644, 0.545, 0.233)
Ag (0.356, 0.455, 0.767)
Pt (0.261, 0.925, 0.575)
Pt (0.739, 0.075, 0.425)
Pt (0.239, 0.925, 0.075)
Pt (0.761, 0.075, 0.925)

Calculated volume = 12.56 Å³/atom
Raw total energy = -5.051 eV/atom
Magnetic moment = 0.0 μB per formula unit
Space-group type = P2_1/c (14)